CoAsW2 | PBE | relaxed

The structure in POSCAR format:
```
CoAsW2
1.0
-1.247 -3.403 2.451
0.214 -4.058 -1.621
2.987 -2.810 1.525
W Co As
2 1 1
Direct
0.750 0.750 0.750
0.000 0.000 0.000
0.250 0.250 0.250
0.500 0.500 0.500
```

For the density of states at the Fermi level, the calculation gives 0.5934 states/eV per atom. The formation energy is 46.2 kJ/mol of atoms.